## La2FeAg (GGA-PBE)

Data for an optimized crystal structure of La2FeAg.

Calculated formation energy, eV/atom: 0.197

abc: 5.719 5.719 5.719
angles: 133.63 133.63 67.67
Atoms (fractional coordinates):
1 La 0.000 0.000 0.000
2 La 0.250 0.750 0.500
3 Ag 0.500 0.500 0.000
4 Fe 0.750 0.250 0.500

---

## KCeGeS4 (GGA-PBE)

Data for an optimized crystal structure of KCeGeS4.

Uncorrected formation energy, eV per atom: -1.2148

abc: 6.678 6.695 8.845
angles: 90.00 107.00 90.00
Atoms (fractional coordinates):
1 S 0.000 0.007 0.283
2 S 0.000 0.507 0.717
3 S 0.000 0.993 0.717
4 S 0.000 0.493 0.283
5 S 0.577 0.250 0.838
6 S 0.415 0.750 0.573
7 S 0.585 0.250 0.427
8 S 0.423 0.750 0.162
9 Ce 0.768 0.750 0.446
10 Ce 0.232 0.250 0.554
11 Ge 0.778 0.250 0.680
12 Ge 0.222 0.750 0.320
13 K 0.266 0.250 0.064
14 K 0.734 0.750 0.936

---

## Ac2La15Mg2 (GGA-PBE)

Data for an optimized crystal structure of Ac2La15Mg2.

Calculated formation energy, eV/atom: 0.128

abc: 9.003 9.003 9.003
angles: 80.65 80.64 80.64
Atoms (fractional coordinates):
1 Ac 0.317 0.317 0.317
2 Ac 0.683 0.683 0.683
3 Mg 0.908 0.908 0.908
4 Mg 0.092 0.092 0.092
5 La 0.000 0.707 0.293
6 La 0.293 0.000 0.707
7 La 0.707 0.293 0.000
8 La 0.000 0.293 0.707
9 La 0.366 0.838 0.366
10 La 0.707 0.000 0.293
11 La 0.000 0.000 0.500
12 La 0.500 0.000 0.000
13 La 0.366 0.366 0.838
14 La 0.838 0.366 0.366
15 La 0.162 0.634 0.634
16 La 0.634 0.162 0.634
17 La 0.000 0.500 0.000
18 La 0.293 0.707 0.000
19 La 0.634 0.634 0.162

---

## Sm9Dy4Hg11 (GGA-PBE)

Data for an optimized crystal structure of Sm9Dy4Hg11.

Calculated formation energy, eV/atom: -0.379

abc: 3.578 14.003 14.003
angles: 111.25 90.00 90.00
Atoms (fractional coordinates):
1 Dy 0.500 0.252 0.437
2 Dy 0.500 0.437 0.252
3 Dy 0.500 0.748 0.563
4 Dy 0.500 0.563 0.748
5 Hg 0.000 0.170 0.830
6 Hg 0.000 0.942 0.586
7 Hg 0.000 0.830 0.170
8 Hg 0.000 0.414 0.058
9 Hg 0.000 0.058 0.414
10 Hg 0.000 0.000 0.000
11 Hg 0.000 0.633 0.367
12 Hg 0.000 0.586 0.942
13 Hg 0.000 0.367 0.633
14 Hg 0.000 0.748 0.748
15 Hg 0.000 0.252 0.252
16 Sm 0.500 0.146 0.627
17 Sm 0.500 0.627 0.146
18 Sm 0.500 0.373 0.854
19 Sm 0.500 0.965 0.795
20 Sm 0.500 0.795 0.965
21 Sm 0.500 0.035 0.205
22 Sm 0.500 0.500 0.500
23 Sm 0.500 0.205 0.035
24 Sm 0.500 0.854 0.373